# 1
The following is a DFT calculation (PBE) of a relaxed Cd3Se2S crystal.

Cell: 7.479 7.479 7.469 Å, 99.57 99.57 120.03°
Sites, in units of the cell vectors:
Se  0.595  0.427  0.007
Se  0.427  0.595  0.507
S  0.094  0.931  0.508
Cd  0.731  0.563  0.387
Se  0.765  0.260  0.507
Cd  0.053  0.209  0.375
Cd  0.890  0.378  0.886
Se  0.260  0.765  0.007
Cd  0.378  0.890  0.386
Cd  0.563  0.731  0.887
S  0.931  0.094  0.008
Cd  0.209  0.053  0.875

The size of the total moment is 0.000 Bohr magnetons per cell. The value obtained for the formation energy (no corrections) is -0.63 eV/atom.


# 2
The following is a DFT calculation (PBE) of a relaxed CdSeS2 crystal.

Cell: 8.000 8.000 8.000 Å, 27.87 27.87 27.87°
Sites, in units of the cell vectors:
S  0.102  0.102  0.102
S  0.898  0.898  0.898
Cd  0.500  0.500  0.500
Se  0.000  0.000  0.000

The size of the total moment is 0.000 Bohr magnetons per cell. As for the energy above the most stable polymorph in this dataset: 0.1424 eV per atom. The value obtained for the formation energy (no corrections) is 0.01 eV/atom.


# 3
The following is a DFT calculation (PBE) of a relaxed CdSnSeS crystal.

Cell: 4.168 4.168 7.970 Å, 105.22 89.94 119.99°
Sites, in units of the cell vectors:
S  0.387  0.158  0.545
Sn  0.114  0.612  0.726
Se  0.555  0.497  0.052
Cd  0.273  0.934  0.207

The size of the total moment is 0.000 Bohr magnetons per cell. The value obtained for the formation energy (no corrections) is -0.43 eV/atom.


# 4
The following is a DFT calculation (PBE) of a relaxed SrCdSe2S crystal.

Cell: 5.265 5.044 5.265 Å, 90.00 90.00 90.00°
Sites, in units of the cell vectors:
Se  0.000  0.000  0.500
Se  0.500  0.000  0.000
Cd  0.000  0.000  0.000
S  0.000  0.500  0.000
Sr  0.500  0.500  0.500

The size of the total moment is 0.000 Bohr magnetons per cell. The value obtained for the formation energy (no corrections) is -0.54 eV/atom.


# 5
The following is a DFT calculation (PBE) of a relaxed CdTcSeS2 crystal.

Cell: 4.434 5.862 4.434 Å, 90.00 90.00 90.00°
Site moments in Bohr magnetons follow the coordinates.
Sites, in units of the cell vectors:
Cd  0.000  0.500  0.000  0.00
Tc  0.000  0.000  0.000  0.01
S  0.500  0.000  0.000  0.01
Se  0.500  0.500  0.500  0.26
S  0.000  0.000  0.500  0.05

The size of the total moment is 0.507 Bohr magnetons per cell. The value obtained for the formation energy (no corrections) is 0.24 eV/atom.


# 6
The following is a DFT calculation (PBE) of a relaxed Cd4TeSeS2 crystal.

Cell: 6.165 6.165 7.545 Å, 114.11 114.11 90.01°
Sites, in units of the cell vectors:
Cd  0.375  0.895  0.271
Cd  0.625  0.625  0.730
Se  0.000  0.000  0.000
Te  0.500  0.500  0.000
Cd  0.105  0.105  0.730
S  0.750  0.250  0.500
S  0.250  0.750  0.500
Cd  0.895  0.375  0.271

The size of the total moment is 0.000 Bohr magnetons per cell. The value obtained for the formation energy (no corrections) is -0.57 eV/atom.


# 7
The following is a DFT calculation (PBE) of a relaxed Cd4TeSe2S crystal.

Cell: 6.238 6.238 7.617 Å, 114.18 114.18 89.99°
Sites, in units of the cell vectors:
Cd  0.394  0.859  0.253
Cd  0.859  0.394  0.253
S  0.500  0.500  0.000
Cd  0.606  0.606  0.748
Cd  0.141  0.141  0.748
Se  0.750  0.250  0.500
Te  0.000  0.000  0.000
Se  0.250  0.750  0.500

The size of the total moment is 0.000 Bohr magnetons per cell. The value obtained for the formation energy (no corrections) is -0.58 eV/atom.


# 8
The following is a DFT calculation (PBE) of a relaxed TlCdSeS crystal.

Cell: 4.367 4.367 7.981 Å, 74.12 74.12 60.00°
Sites, in units of the cell vectors:
Cd  0.974  0.974  0.079
S  0.608  0.608  0.177
Se  0.092  0.092  0.723
Tl  0.483  0.483  0.551

The size of the total moment is 0.000 Bohr magnetons per cell. The value obtained for the formation energy (no corrections) is -0.33 eV/atom.


# 9
The following is a DFT calculation (PBE) of a relaxed ZnCd2Se2S crystal.

Cell: 6.816 7.276 7.308 Å, 119.86 90.00 90.00°
Sites, in units of the cell vectors:
Se  0.297  0.165  0.688
S  0.825  0.144  0.000
Zn  0.174  0.148  0.000
Cd  0.690  0.166  0.682
Se  0.297  0.477  0.312
Cd  0.690  0.484  0.318
S  0.325  0.856  0.000
Se  0.797  0.835  0.312
Zn  0.674  0.852  0.000
Cd  0.190  0.834  0.318
Se  0.797  0.523  0.688
Cd  0.190  0.516  0.682

The size of the total moment is 0.000 Bohr magnetons per cell. The value obtained for the formation energy (no corrections) is -0.66 eV/atom.


# 10
The following is a DFT calculation (PBE) of a relaxed ZnCdSeS crystal.

Cell: 4.092 4.092 7.220 Å, 90.01 106.46 119.99°
Sites, in units of the cell vectors:
Se  0.441  0.106  0.547
S  0.469  0.618  0.086
Cd  0.218  0.494  0.712
Zn  0.201  0.984  0.185

The size of the total moment is 0.000 Bohr magnetons per cell. The value obtained for the formation energy (no corrections) is -0.64 eV/atom.


# 11
The following is a DFT calculation (PBE) of a relaxed ZnCdSeS crystal.

Cell: 4.089 4.089 6.833 Å, 90.00 90.00 60.00°
Sites, in units of the cell vectors:
Cd  0.667  0.667  0.482
Se  0.333  0.333  0.648
Zn  0.333  0.333  0.010
S  0.667  0.667  0.108

The size of the total moment is 0.000 Bohr magnetons per cell. The value obtained for the formation energy (no corrections) is -0.63 eV/atom.


# 12
The following is a DFT calculation (PBE) of a relaxed CdSi2S2 crystal.

Cell: 8.644 8.644 3.184 Å, 90.00 90.00 90.00°
Sites, in units of the cell vectors:
Si  0.233  0.733  0.500
S  0.643  0.143  0.000
Cd  0.000  0.000  0.000
Si  0.267  0.233  0.500
S  0.357  0.857  0.000
S  0.857  0.643  0.000
Si  0.767  0.267  0.500
Si  0.733  0.767  0.500
Cd  0.500  0.500  0.000
S  0.143  0.357  0.000

The size of the total moment is 0.000 Bohr magnetons per cell. As for the energy above the most stable polymorph in this dataset: 0.0000 eV per atom. The value obtained for the formation energy (no corrections) is 0.15 eV/atom.